(1)
The following is a GGA+U calculation of BaVP2O after structural relaxation, from Alexandria via LeMat-Bulk.

abc: 4.9218 4.9218 3.9031
angles: 90.00 90.00 90.00
Positions (direct):
Ba: 0.0000 0.0000 0.0000
V: 0.5000 0.5000 0.5000
P: 0.0000 0.5000 0.5000
P: 0.5000 0.0000 0.5000
O: 0.5000 0.5000 0.0000

Distance to the lowest polymorph of the same formula in meV/atom: 0
Crystal system: tetragonal
Magnetic moment in μB per formula unit: 0.0


(2)
The following is a GGA+U calculation of BaV2PO after structural relaxation, from Alexandria via LeMat-Bulk.

abc: 4.5163 4.5163 6.7147
angles: 90.00 90.00 90.00
Positions (direct):
Ba: 0.0000 0.0000 0.0000
V: 0.0000 0.5000 0.5000
V: 0.5000 0.0000 0.5000
P: 0.0000 0.0000 0.5000
O: 0.5000 0.5000 0.0000

Crystal system: tetragonal
Magnetic moment in μB per formula unit: 7.0


(3)
The following is a GGA+U calculation of BaVP2O8 after structural relaxation, from Alexandria via LeMat-Bulk.

abc: 5.0075 5.0075 7.7166
angles: 90.00 90.00 120.00
Positions (direct):
Ba: 0.0000 0.0000 0.0000
V: 0.0000 0.0000 0.5000
P: 0.3333 0.6667 0.7183
P: 0.6667 0.3333 0.2817
O: 0.0850 0.3431 0.6526
O: 0.2581 0.9150 0.6526
O: 0.3333 0.6667 0.9163
O: 0.3431 0.2581 0.3474
O: 0.6569 0.7419 0.6526
O: 0.6667 0.3333 0.0837
O: 0.7419 0.0850 0.3474
O: 0.9150 0.6569 0.3474

Crystal system: trigonal
Magnetic moment in μB per formula unit: 1.0


(4)
The following is a GGA+U calculation of BaP2WO after structural relaxation, from Alexandria via LeMat-Bulk.

abc: 5.8138 5.8138 4.3660
angles: 90.00 90.00 90.00
Positions (direct):
Ba: 0.0000 0.0000 0.0000
P: 0.0000 0.5000 0.0000
P: 0.5000 0.0000 0.0000
W: 0.5000 0.5000 0.5000
O: 0.0000 0.0000 0.5000

Distance to the lowest polymorph of the same formula in meV/atom: 2004
Crystal system: tetragonal
Magnetic moment in μB per formula unit: 1.7


The records above give, respectively, VASP energy values of -28.0; -26.1; -88.8; -18.5 eV/cell.